[1]
A plane-wave DFT calculation with PBE was carried out for a relaxed La3FePb crystal.

Structure (POSCAR):
```
La3FePb
1.0
0.0000 7.0520 7.0520
7.0520 0.0000 7.0520
7.0520 7.0520 0.0000
Pb Fe La
4 4 12
Cartesian
8.8149 8.8149 8.8149
5.2890 8.8149 5.2890
8.8149 5.2890 5.2890
5.2890 5.2890 8.8149
1.7630 1.7630 1.7630
5.2890 1.7630 5.2890
1.7630 5.2890 5.2890
5.2890 5.2890 1.7630
2.8530 7.0520 7.0520
6.3790 3.5260 3.5260
3.5260 3.5260 6.3790
0.6730 3.5260 3.5260
3.5260 0.6730 3.5260
7.0520 11.2509 7.0520
3.5260 6.3790 3.5260
3.5260 3.5260 0.6730
7.0520 2.8530 7.0520
11.2509 7.0520 7.0520
7.0520 7.0520 2.8530
7.0520 7.0520 11.2509
```

Values from the calculation:
size of the total moment: 0.0 μB/cell
VASP energy: -5.401 eV/atom
crystal system: cubic

[2]
A plane-wave DFT calculation with PBE was carried out for a relaxed LaFe3Pb crystal.

Structure (POSCAR):
```
LaFe3Pb
1.0
-4.7279 0.1135 0.8701
-0.7961 -2.5603 -3.9918
0.3691 -4.0688 2.5361
Pb Fe La
1 3 1
Cartesian
0.0000 0.0000 0.0000
-0.3980 -1.2801 -1.9959
0.1845 -2.0344 1.2680
-2.3639 0.0567 0.4351
-2.5774 -3.2578 -0.2928
```

Values from the calculation:
size of the total moment: 0.0 μB/cell
VASP energy: -5.391 eV/atom
crystal system: cubic

[3]
A plane-wave DFT calculation with PBE was carried out for a relaxed La3FePb crystal.

Structure (POSCAR):
```
La3FePb
1.0
5.2777 0.0000 0.0000
0.0000 5.2777 0.0000
0.0000 0.0000 5.2777
Pb Fe La
1 1 3
Cartesian
2.6389 2.6389 2.6389
0.0000 0.0000 0.0000
0.0000 2.6389 0.0000
0.0000 0.0000 2.6389
2.6389 0.0000 0.0000
```

Values from the calculation:
size of the total moment: 0.0 μB/cell
VASP energy: -5.718 eV/atom
crystal system: cubic

[4]
A plane-wave DFT calculation with PBE was carried out for a relaxed La3FePb crystal.

Structure (POSCAR):
```
La3FePb
1.0
-5.2141 4.2381 4.1635
-4.5401 -2.6483 5.9041
0.6032 1.9868 7.6271
Pb Fe La
2 2 6
Cartesian
-2.5824 1.0093 4.9933
-6.5686 2.5673 12.7014
-1.3776 0.5384 2.6637
-7.7734 3.0382 15.0310
-1.9786 1.9174 8.3058
-4.5914 -0.4611 7.4354
-4.1984 0.5294 11.1553
-4.5596 4.0377 10.2594
-7.1724 1.6592 9.3889
-4.9526 3.0473 6.5394
```

Values from the calculation:
size of the total moment: 0.0 μB/cell
VASP energy: -5.472 eV/atom
crystal system: trigonal

[5]
A plane-wave DFT calculation with PBE was carried out for a relaxed La3FePb crystal.

Structure (POSCAR):
```
La3FePb
1.0
7.0211 0.0067 -0.0145
-0.2157 6.3136 -0.0154
-0.8274 2.3016 6.4838
Pb Fe La
2 2 6
Cartesian
4.3477 3.6850 1.1006
-0.1021 1.9680 4.5590
3.1652 5.2449 3.1032
0.8650 6.7213 2.5420
0.8340 3.6659 1.6801
3.4116 1.9869 3.9797
6.1590 0.4630 1.1402
1.5440 5.1219 4.8246
2.7014 0.5299 0.8360
5.1076 5.1968 4.5054
```

Values from the calculation:
size of the total moment: 0.0 μB/cell
VASP energy: -5.646 eV/atom
crystal system: triclinic

[6]
A plane-wave DFT calculation with PBE was carried out for a relaxed La2FePb crystal.

Structure (POSCAR):
```
La2FePb
1.0
-4.6062 -3.4866 1.0188
-3.1656 -4.1606 -2.6607
0.9001 -5.4764 1.3556
Fe La Pb
1 2 1
Cartesian
-1.7179 -3.2809 -0.0716
-7.2471 -7.5153 -1.4607
-3.9607 -6.6938 -0.3245
-5.1538 -9.8427 -0.2148
```

Values from the calculation:
size of the total moment: 0.0 μB/cell
VASP energy: -5.512 eV/atom
crystal system: orthorhombic

[7]
A plane-wave DFT calculation with PBE was carried out for a relaxed La3FePb crystal.

Structure (POSCAR):
```
La3FePb
1.0
-1.6490 -1.5244 -6.5359
-1.0564 -5.8195 1.8966
-7.2587 -0.1674 -0.1190
Pb Fe La
2 2 6
Cartesian
-3.0434 -3.9907 -4.0826
-6.7657 -2.1337 -6.2081
-4.7290 -5.2042 -2.1712
-4.4937 -5.2134 0.3071
-2.9903 -3.0605 -0.7256
-5.1725 -1.5405 -3.0295
-2.5821 -5.6956 1.7588
-6.6078 -3.7908 -0.0815
-2.6107 -6.6299 -1.7770
-6.6363 -4.7243 -3.6152
```

Values from the calculation:
size of the total moment: 0.0 μB/cell
VASP energy: -5.640 eV/atom
crystal system: triclinic

[8]
A plane-wave DFT calculation with PBE was carried out for a relaxed La3FePb crystal.

Structure (POSCAR):
```
La3FePb
1.0
-10.2467 -15.1385 -10.7317
-0.3974 -7.0845 -2.3644
0.8247 4.0547 6.2305
Pb Fe La
2 2 6
Cartesian
-4.9706 -4.7599 -0.0371
-4.8488 -13.4084 -6.8285
-0.6177 -5.3541 -0.9839
-9.2017 -12.8142 -5.8817
-7.4552 -11.5437 -5.0791
-2.3643 -6.6246 -1.7866
-9.4283 -15.1229 -7.6660
-0.3911 -3.0454 0.8004
-3.2925 -9.7891 -4.1640
-6.5269 -8.3792 -2.7016
```

Values from the calculation:
size of the total moment: 0.0 μB/cell
VASP energy: -5.566 eV/atom
crystal system: monoclinic

[9]
A plane-wave DFT calculation with PBE was carried out for a relaxed La3FePb crystal.

Structure (POSCAR):
```
La3FePb
1.0
-4.9068 0.9667 -3.5358
-2.5845 -5.1021 2.1916
-8.6013 3.9990 7.7250
Pb Fe La
2 2 6
Cartesian
0.0000 0.0000 0.0000
-7.4657 -1.5853 4.6223
-9.0582 1.9879 2.5044
-8.1956 0.9102 1.0127
-7.5624 -2.8279 1.6157
-7.9821 1.2594 6.1167
-9.3468 -1.4346 7.2739
-4.9715 -3.3383 3.4827
-5.8667 0.5824 2.9959
-10.2259 -0.7187 3.3849
```

Values from the calculation:
size of the total moment: 0.0 μB/cell
VASP energy: -4.745 eV/atom
crystal system: tetragonal

[10]
A plane-wave DFT calculation with PBE was carried out for a relaxed La3FePb crystal.

Structure (POSCAR):
```
La3FePb
1.0
-4.2671 -3.7728 3.7293
0.1785 -7.2077 0.4612
3.8963 0.3368 6.1392
Pb Fe La
2 2 6
Cartesian
3.3818 -5.8894 5.5445
1.3444 -2.4539 2.2443
-1.2652 -5.9501 3.7115
0.5937 -2.1779 6.5506
-1.6896 -7.9499 2.4855
0.1693 -4.1776 5.3246
-0.8635 -6.1140 9.0246
-1.7416 -4.3191 2.1982
-2.7224 -9.8863 6.1856
0.2958 -7.7546 5.4984
```

Values from the calculation:
size of the total moment: 0.0 μB/cell
VASP energy: -5.627 eV/atom
crystal system: triclinic

[11]
A plane-wave DFT calculation with PBE was carried out for a relaxed La3FePb crystal.

Structure (POSCAR):
```
La3FePb
1.0
-4.3507 -2.7220 -0.6802
3.9596 -0.5853 -3.2832
5.6975 -11.3283 8.8908
Pb Fe La
2 2 6
Cartesian
0.0000 0.0000 0.0000
2.8488 -5.6642 4.4454
5.4626 -9.7938 4.2525
-0.1562 -4.8419 0.6748
1.4244 -2.8321 2.2227
4.2731 -8.4962 6.6681
6.3601 -11.5783 5.6530
4.5651 -8.0093 2.8520
0.7413 -6.6263 2.0753
-1.0537 -3.0574 -0.7257
```

Values from the calculation:
size of the total moment: 0.0 μB/cell
VASP energy: -5.340 eV/atom
crystal system: hexagonal

[12]
A plane-wave DFT calculation with PBE was carried out for a relaxed La2FePb crystal.

Structure (POSCAR):
```
La2FePb
1.0
-3.6203 -3.4215 1.5894
-2.8407 -2.6242 -3.5190
0.7694 -5.1265 -0.6827
Fe La Pb
1 2 1
Cartesian
-2.8458 -5.5861 -1.3062
0.0000 0.0000 0.0000
-1.4229 -2.7931 -0.6531
-4.2687 -8.3792 -1.9592
```

Values from the calculation:
size of the total moment: 0.2 μB/cell
VASP energy: -5.356 eV/atom
crystal system: cubic

Which of these has the highest VASP energy?
number 9

Which value of size of the total moment does entry 6 give?
0.0 μB/cell

What is the size of the total moment in the seventh record?
0.0 μB/cell